Record 1
Below is CaSi2Tc at its PBEsol-relaxed geometry, with properties calculated at the meta-GGA SCAN level.

Summary:
- E_form (uncorrected) (eV per atom) = 0.3220
- E above lowest polymorph (meV/atom) = 287

POSCAR file:
```
CaSi2Tc
1.0
3.9537 0.0000 0.0000
0.0000 3.9537 0.0000
0.0000 0.0000 4.0364
Ca Si Tc
1 2 1
Direct
0.0000 0.0000 0.5000
0.0000 0.5000 0.0000
0.5000 0.0000 0.0000
0.5000 0.5000 0.5000
```

Record 2
Below is Ti3InPd at its PBEsol-relaxed geometry, with properties calculated at the meta-GGA SCAN level.

Summary:
- calculated total energy (eV per atom) = -22.59

POSCAR file:
```
Ti3InPd
1.0
-2.1226 3.2373 -2.6767
0.4194 -2.8207 -3.7441
-4.1796 -1.9272 0.9837
Ti Pd In
3 1 1
Direct
0.0000 0.5000 0.0000
0.0000 0.0000 0.5000
0.5000 0.0000 0.0000
0.0000 0.0000 0.0000
0.5000 0.5000 0.5000
```

Record 3
Below is ZnTc at its PBEsol-relaxed geometry, with properties calculated at the meta-GGA SCAN level.

Summary:
- E above lowest polymorph (meV/atom) = 115

POSCAR file:
```
ZnTc
1.0
-2.4139 -1.0043 0.7882
-0.3630 -2.0460 -3.7186
2.1704 -3.7594 1.8565
Tc Zn
2 2
Direct
0.0000 0.2500 0.6329
0.0000 0.7500 0.3671
0.5000 0.2500 0.1398
0.5000 0.7500 0.8602
```

Record 4
Below is GeBTe2N at its PBEsol-relaxed geometry, with properties calculated at the meta-GGA SCAN level.

Summary:
- E_form (uncorrected) (eV per atom) = 0.2559

POSCAR file:
```
GeBTe2N
1.0
2.7676 0.0000 0.0000
0.0000 5.9880 0.0000
0.0000 0.0000 5.9880
Ge Te B N
1 2 1 1
Direct
0.5000 0.5000 0.5000
0.0000 0.0000 0.5000
0.0000 0.5000 0.0000
0.0000 0.0000 0.0000
0.5000 0.0000 0.0000
```

Record 5
Below is CoCuSb2 at its PBEsol-relaxed geometry, with properties calculated at the meta-GGA SCAN level.

Summary:
- E_form (uncorrected) (eV per atom) = 0.4099

POSCAR file:
```
CoCuSb2
1.0
3.1009 0.0918 0.0000
-0.0907 3.1009 0.0000
0.0000 0.0000 7.0926
Sb Co Cu
2 1 1
Direct
0.0000 0.0000 0.2714
0.0000 0.0000 0.7286
0.5000 0.5000 0.5000
0.5000 0.5000 0.0000
```

Record 6
Below is MnCd2Br at its PBEsol-relaxed geometry, with properties calculated at the meta-GGA SCAN level.

Summary:
- E_form (uncorrected) (eV per atom) = -0.1011

POSCAR file:
```
MnCd2Br
1.0
3.1531 0.0000 0.0000
0.0000 4.6227 0.0000
-1.5766 -2.3113 6.1931
Br Cd Mn
1 2 1
Direct
0.1790 0.6790 0.3580
0.9778 0.9778 0.9555
0.8284 0.3284 0.6567
0.5148 0.5148 0.0297
```

Record 7
Below is NaAuBr2 at its PBEsol-relaxed geometry, with properties calculated at the meta-GGA SCAN level.

Summary:
- E_form (uncorrected) (eV per atom) = -0.8675

POSCAR file:
```
NaAuBr2
1.0
-0.1391 0.6252 4.4299
2.1320 -2.8363 2.7284
6.9045 3.5588 1.9758
Na Au Br
1 1 2
Direct
0.5000 0.5000 0.5000
0.0000 0.0000 0.0000
0.8954 0.8954 0.3139
0.1046 0.1046 0.6861
```

Record 8
Below is Ca3TeSe at its PBEsol-relaxed geometry, with properties calculated at the meta-GGA SCAN level.

Summary:
- E_form (uncorrected) (eV per atom) = -0.6025

POSCAR file:
```
Ca3TeSe
1.0
5.7243 0.0000 0.0000
0.0000 5.7243 0.0000
0.0000 0.0000 5.7243
Ca Te Se
3 1 1
Direct
0.0000 0.5000 0.0000
0.0000 0.0000 0.5000
0.5000 0.0000 0.0000
0.0000 0.0000 0.0000
0.5000 0.5000 0.5000
```